Br4Cl5F2, optimized geometry, DFT PBE; Fermi-level density of states = 13.9 states/eV/cell; DFT total energy = -1.936 eV/atom; raw formation energy = -148.4 meV/atom
1.0
-4.8794 -5.6611 1.4452
0.9426 1.6317 -7.3752
7.9968 -3.0135 2.3796
Br Cl F
4 5 2
direct
0.3932 0.3914 0.7846 Br
0.6068 0.6086 0.2154 Br
0.4042 0.8023 0.2066 Br
0.5958 0.1977 0.7934 Br
0.2325 0.2538 0.2389 Cl
0.7675 0.7462 0.7611 Cl
0.5000 0.0000 0.5000 Cl
0.9851 0.0064 0.2389 Cl
0.0149 0.9936 0.7611 Cl
0.2543 0.5476 0.8020 F
0.7457 0.4524 0.1980 F



BrClF, optimized geometry, DFT PBE; Fermi-level density of states = 3.2 states/eV/cell; DFT total energy = -2.045 eV/atom; raw formation energy = -248.2 meV/atom; energy above the lowest structure with this stoichiometry = 0.075 eV per atom
1.0
-0.4601 1.0261 4.7051
-3.5887 -3.2248 0.3523
4.3671 -1.4226 -1.7496
Cl Br F
1 1 1
direct
0.3122 0.3122 0.6243 Cl
0.6317 0.6317 0.2634 Br
0.9062 0.9062 0.8123 F



Br2ClF8, optimized geometry, DFT PBE; Fermi-level density of states = 3.3 states/eV/cell; DFT total energy = -2.505 eV/atom; raw formation energy = -672.1 meV/atom
1.0
-2.2868 3.1008 -4.3917
-6.4884 -1.5286 1.4819
-0.4489 3.8200 4.3974
F Br Cl
8 2 1
direct
0.6387 0.6927 0.0431 F
0.9569 0.3073 0.3613 F
0.2791 0.5170 0.2791 F
0.7209 0.4830 0.7209 F
0.0431 0.6927 0.6387 F
0.3613 0.3073 0.9569 F
0.3726 0.1582 0.3726 F
0.6274 0.8418 0.6274 F
0.1500 0.3074 0.1500 Br
0.8500 0.6926 0.8500 Br
0.0000 0.0000 0.0000 Cl



BrClF3, optimized geometry, DFT PBE; Fermi-level density of states = 0.0 states/eV/cell; DFT total energy = -2.513 eV/atom; raw formation energy = -686.2 meV/atom; energy above the lowest structure with this stoichiometry = 0.000 eV per atom
1.0
-6.4926 1.7882 1.6483
-1.8849 -3.5602 -3.5626
-3.8492 -15.4891 1.6405
Br Cl F
4 4 12
direct
0.7660 0.0143 0.9184 Br
0.2340 0.5143 0.4184 Br
0.7660 0.4857 0.5816 Br
0.2340 0.9857 0.0816 Br
0.1254 0.1949 0.7008 Cl
0.1254 0.3051 0.7992 Cl
0.8746 0.6949 0.2008 Cl
0.8746 0.8051 0.2992 Cl
0.8879 0.8658 0.4505 F
0.1121 0.3658 0.9505 F
0.3633 0.6156 0.2003 F
0.5399 0.8038 0.9754 F
0.6367 0.1156 0.7003 F
0.1121 0.1342 0.5495 F
0.5399 0.6962 0.5246 F
0.3633 0.8844 0.2997 F
0.4601 0.1962 0.0246 F
0.6367 0.3844 0.7997 F
0.8879 0.6342 0.0495 F
0.4601 0.3038 0.4754 F



BrClF3, optimized geometry, DFT PBE; Fermi-level density of states = 8.2 states/eV/cell; DFT total energy = -1.923 eV/atom; raw formation energy = -96.2 meV/atom; energy above the lowest structure with this stoichiometry = 0.590 eV per atom
1.0
-2.4478 -1.9220 -3.0252
-1.6101 -2.6833 3.0075
-3.2021 2.8184 0.8003
F Br Cl
3 1 1
direct
0.0000 0.5000 0.0000 F
0.0000 0.0000 0.5000 F
0.5000 0.0000 0.0000 F
0.0000 0.0000 0.0000 Br
0.5000 0.5000 0.5000 Cl



BrClF3, optimized geometry, DFT PBE; Fermi-level density of states = 6.1 states/eV/cell; DFT total energy = -1.696 eV/atom; raw formation energy = 130.8 meV/atom; energy above the lowest structure with this stoichiometry = 0.817 eV per atom
1.0
4.3360 0.0000 0.0000
0.0000 4.3360 0.0000
0.0000 0.0000 4.3360
F Br Cl
3 1 1
direct
0.0000 0.5000 0.0000 F
0.0000 0.0000 0.5000 F
0.5000 0.0000 0.0000 F
0.5000 0.5000 0.5000 Br
0.0000 0.0000 0.0000 Cl